## RbHo2Cu2S4 (PBE)

Data for crystalline RbHo2Cu2S4 at its relaxed geometry.

calculated density: 5.14 g cm⁻³
E_tot: -45.2 eV per cell
ΔE_f (raw): -1.154 eV per atom

POSCAR file:
```
RbHo2Cu2S4
1.0
7.440 -1.811 0.000
7.440 1.811 0.000
-3.858 0.000 8.049
Rb Ho Cu S
1 2 2 4
Cartesian
0.000 0.000 0.000
-0.627 0.000 4.868
11.649 0.000 3.180
2.375 0.000 4.851
8.647 0.000 3.197
2.414 0.000 2.248
4.669 0.000 5.397
6.353 0.000 2.652
8.608 0.000 5.800
```



## HoHgPt2 (PBE)

Data for crystalline HoHgPt2 at its relaxed geometry.

calculated density: 16.06 g cm⁻³
E_tot: -19.9 eV per cell
relative energy among the computed polymorphs: 23.4 meV/atom

POSCAR file:
```
HoHgPt2
1.0
0.000 3.393 3.393
3.393 0.000 3.393
3.393 3.393 0.000
Ho Hg Pt
1 1 2
Cartesian
0.000 0.000 0.000
3.393 3.393 3.393
1.697 1.697 1.697
5.090 5.090 5.090
```



## TiPt8Au2 (PBE)

Data for crystalline TiPt8Au2 at its relaxed geometry.

calculated density: 17.63 g cm⁻³
E_tot: -64.2 eV per cell

POSCAR file:
```
TiPt8Au2
1.0
4.112 -5.711 0.000
4.112 5.711 0.000
0.000 0.000 4.016
Ti Pt Au
1 8 2
Cartesian
0.000 0.000 0.000
1.385 1.415 2.008
4.112 3.127 0.000
1.385 -1.415 2.008
2.666 0.000 0.000
5.558 0.000 0.000
6.839 1.415 2.008
4.112 -3.127 0.000
6.839 -1.415 2.008
4.112 1.413 2.008
4.112 -1.413 2.008
```



## ZnFeCu2 (PBE)

Data for crystalline ZnFeCu2 at its relaxed geometry.

calculated density: 8.24 g cm⁻³
E_tot: -17.5 eV per cell

POSCAR file:
```
ZnFeCu2
1.0
-1.330 2.170 4.332
1.330 -2.170 4.332
1.330 2.170 -4.332
Zn Fe Cu
1 1 2
Cartesian
0.000 0.000 0.000
0.000 0.000 4.332
1.330 0.000 2.165
0.000 2.170 2.167
```



## Ca2Ac3Pr7 (PBE)

Data for crystalline Ca2Ac3Pr7 at its relaxed geometry.

calculated density: 6.10 g cm⁻³
E_tot: -48.7 eV per cell

POSCAR file:
```
Ca2Ac3Pr7
1.0
6.203 0.000 0.000
0.000 3.788 0.000
-1.131 0.000 20.251
Ca Ac Pr
2 3 7
Cartesian
0.998 0.000 5.916
4.073 0.000 14.335
0.000 0.000 0.000
0.986 1.894 12.754
4.086 1.894 7.497
1.084 1.894 2.872
0.985 0.000 9.431
0.903 0.000 16.848
3.101 1.894 0.000
4.169 0.000 3.403
4.087 0.000 10.820
3.988 1.894 17.379
```



## Cs5AgAs2 (PBE)

Data for crystalline Cs5AgAs2 at its relaxed geometry.

calculated density: 4.52 g cm⁻³
E_tot: -18.9 eV per cell

POSCAR file:
```
Cs5AgAs2
1.0
3.166 1.828 9.761
-3.166 1.828 9.761
0.000 -3.656 9.761
Cs Ag As
5 1 2
Cartesian
0.000 0.000 0.000
0.000 0.000 3.932
0.000 0.000 8.282
0.000 0.000 21.001
0.000 0.000 25.351
0.000 0.000 14.642
0.000 0.000 12.073
0.000 0.000 17.210
```



## U2TlBiO8 (PBE)

Data for crystalline U2TlBiO8 at its relaxed geometry.

calculated density: 10.12 g cm⁻³
E_tot: -95.6 eV per cell
ΔE_f (raw): -2.259 eV per atom

POSCAR file:
```
U2TlBiO8
1.0
-2.784 2.784 5.384
2.784 -2.784 5.384
2.784 2.784 -5.384
U Tl Bi O
2 1 1 8
Cartesian
0.000 0.000 0.000
0.000 2.784 2.692
0.000 0.000 5.384
2.784 0.000 2.692
4.104 1.195 -1.507
1.230 1.239 -1.241
4.328 1.230 1.241
1.195 1.464 1.507
-1.320 1.589 3.877
1.553 1.544 4.143
1.589 1.320 6.892
-1.544 1.553 6.625
```



## KBa2Ni (PBE)

Data for crystalline KBa2Ni at its relaxed geometry.

calculated density: 3.20 g cm⁻³
E_tot: -9.8 eV per cell
relative energy among the computed polymorphs: 195.9 meV/atom

POSCAR file:
```
KBa2Ni
1.0
-2.127 3.575 6.365
2.127 -3.575 6.365
2.127 3.575 -6.365
K Ba Ni
1 2 1
Cartesian
0.000 0.000 0.000
2.127 0.000 4.255
0.000 3.575 2.110
0.000 0.000 6.365
```



## Re2HgB (PBE)

Data for crystalline Re2HgB at its relaxed geometry.

calculated density: 13.30 g cm⁻³
E_tot: -54.0 eV per cell
relative energy among the computed polymorphs: 0.0 meV/atom

POSCAR file:
```
Re2HgB
1.0
-2.231 2.231 7.321
2.231 -2.231 7.321
2.231 2.231 -7.321
Re Hg B
4 2 2
Cartesian
0.535 1.116 1.830
-1.116 1.696 5.491
-0.535 3.347 1.830
1.116 2.766 5.491
2.231 0.000 3.661
0.000 0.000 7.321
0.000 0.000 0.000
0.000 2.231 3.661
```



## TbLuZnNi (PBE)

Data for crystalline TbLuZnNi at its relaxed geometry.

calculated density: 9.34 g cm⁻³
E_tot: -17.7 eV per cell

POSCAR file:
```
TbLuZnNi
1.0
0.000 3.440 3.440
3.440 0.000 3.440
3.440 3.440 0.000
Tb Lu Zn Ni
1 1 1 1
Cartesian
0.000 0.000 0.000
3.440 3.440 3.440
5.160 5.160 5.160
1.720 1.720 1.720
```



## TbCeSm2Tl4 (PBE)

Data for crystalline TbCeSm2Tl4 at its relaxed geometry.

calculated density: 10.20 g cm⁻³
E_tot: -32.1 eV per cell

POSCAR file:
```
TbCeSm2Tl4
1.0
2.728 1.575 8.949
-2.728 1.575 8.949
0.000 -3.150 8.949
Tb Ce Sm Tl
1 1 2 4
Cartesian
0.000 0.000 0.000
0.000 0.000 13.423
0.000 0.000 6.731
0.000 0.000 20.115
0.000 0.000 3.326
0.000 0.000 10.042
0.000 0.000 16.804
0.000 0.000 23.520
```



## SrHg2I (PBE)

Data for crystalline SrHg2I at its relaxed geometry.

calculated density: 6.98 g cm⁻³
E_tot: -12.5 eV per cell
ΔE_f (raw): -0.600 eV per atom
relative energy among the computed polymorphs: 0.0 meV/atom

POSCAR file:
```
SrHg2I
1.0
-4.739 4.739 3.263
4.739 -4.739 3.263
4.739 4.739 -3.263
Sr Hg I
2 4 2
Cartesian
0.000 0.000 0.000
0.000 4.739 1.631
7.108 2.241 -0.816
2.241 2.369 0.816
-2.369 2.498 2.447
2.498 2.369 4.079
4.739 0.000 1.631
0.000 0.000 3.263
```



## Na6Cd2O (PBE)

Data for crystalline Na6Cd2O at its relaxed geometry.

calculated density: 2.62 g cm⁻³
E_tot: -18.3 eV per cell
ΔE_f (raw): -0.399 eV per atom

POSCAR file:
```
Na6Cd2O
1.0
-3.530 3.530 4.822
3.530 -3.530 4.822
3.530 3.530 -4.822
Na Cd O
6 2 1
Cartesian
1.619 1.619 0.000
1.911 -1.911 4.822
0.000 0.000 2.281
0.000 0.000 7.364
-1.911 1.911 4.822
1.911 1.911 4.822
3.530 0.000 2.411
0.000 3.530 2.411
0.000 0.000 0.000
```